(1)
First-principles (GGA-PBE) data for a relaxed InSb2Pd7 crystal, as listed in Alexandria.

Summary:
Density of states at the Fermi level in states/eV/atom: 0.295
Formation energy from raw total energies in meV per atom: -434
Energy above the lowest structure with this stoichiometry in eV per formula unit: 0.00
Space group: I4/mmm (139)
Electronic total energy in eV per formula unit: -51.674

Cell: 4.086 4.086 11.384 Å, 100.34 100.34 90.00°
Fractional positions:
In  0.000  0.000  0.000
Sb  0.669  0.669  0.337
Sb  0.331  0.331  0.663
Pd  0.091  0.591  0.182
Pd  0.409  0.909  0.818
Pd  0.591  0.091  0.182
Pd  0.500  0.500  0.000
Pd  0.750  0.250  0.500
Pd  0.909  0.409  0.818
Pd  0.250  0.750  0.500

=====

(2)
First-principles (GGA-PBE) data for a relaxed InSbPd2 crystal, as listed in Alexandria.

Summary:
Density of states at the Fermi level in states/eV/atom: 0.412
Formation energy from raw total energies in meV per atom: -201
Space group: I-42d (122)
Electronic total energy in eV per formula unit: -18.049

Cell: 4.409 4.409 9.381 Å, 76.41 76.41 90.00°
Fractional positions:
Sb  0.000  0.000  0.000
Sb  0.750  0.250  0.500
Pd  0.643  0.125  0.250
Pd  0.107  0.625  0.250
Pd  0.375  0.357  0.750
Pd  0.875  0.893  0.750
In  0.500  0.500  0.000
In  0.250  0.750  0.500

=====

(3)
First-principles (GGA-PBE) data for a relaxed In2SbPd5 crystal, as listed in Alexandria.

Summary:
Density of states at the Fermi level in states/eV/atom: 0.576
Formation energy from raw total energies in meV per atom: -421
Space group: I4/mmm (139)
Electronic total energy in eV per formula unit: -38.929

Cell: 4.709 4.709 7.138 Å, 109.26 109.26 90.00°
Fractional positions:
In  0.739  0.739  0.477
In  0.261  0.261  0.523
Sb  0.000  0.000  0.000
Pd  0.500  0.500  0.000
Pd  0.877  0.377  0.754
Pd  0.377  0.877  0.754
Pd  0.123  0.623  0.246
Pd  0.623  0.123  0.246

=====

(4)
First-principles (GGA-PBE) data for a relaxed InSbPd2 crystal, as listed in Alexandria.

Summary:
Density of states at the Fermi level in states/eV/atom: 0.318
Formation energy from raw total energies in meV per atom: -474
Space group: P2_1/c (14)
Electronic total energy in eV per formula unit: -19.144

Cell: 6.111 6.490 8.079 Å, 90.00 89.97 90.00°
Fractional positions:
In  0.194  0.393  0.123
In  0.306  0.893  0.877
In  0.694  0.107  0.123
In  0.806  0.607  0.877
Sb  0.689  0.084  0.634
Sb  0.189  0.416  0.634
Sb  0.311  0.916  0.366
Sb  0.811  0.584  0.366
Pd  0.511  0.687  0.131
Pd  0.011  0.813  0.131
Pd  0.989  0.193  0.388
Pd  0.989  0.187  0.869
Pd  0.011  0.807  0.612
Pd  0.511  0.693  0.612
Pd  0.489  0.313  0.869
Pd  0.489  0.307  0.388